1.
PmPrGeCl: relaxed, PBE.

Cell lengths 5.875, 5.031, 5.031 Å; angles 59.32, 90.00, 90.00 degrees
Element x y z (fractional)
Pm 0.000 0.000 0.000
Pr 0.500 0.331 0.331
Ge 0.000 0.331 0.331
Cl 0.500 0.000 0.000

Results
Space-group type: No. 38
Formation energy (no corrections), kJ/mol of atoms: -95
M_tot, μB per formula unit: 0.00

***

2.
PmPrGeCl: relaxed, PBE.

Cell lengths 5.188, 5.188, 5.188 Å; angles 60.00, 60.00, 60.00 degrees
Element x y z (fractional)
Pm 0.000 0.000 0.000
Pr 0.500 0.500 0.500
Ge 0.250 0.250 0.250
Cl 0.750 0.750 0.750

Results
Space-group type: No. 216
Formation energy (no corrections), kJ/mol of atoms: -101
M_tot, μB per formula unit: 0.00

***

3.
Pm4GePtCl2: relaxed, PBE.

Cell lengths 7.271, 4.149, 7.528 Å; angles 90.00, 108.64, 90.00 degrees
Element x y z (fractional)
Pm 0.217 0.000 0.229
Pm 0.231 0.500 0.744
Pm 0.769 0.500 0.256
Pm 0.783 0.000 0.771
Ge 0.000 0.000 0.500
Pt 0.000 0.500 0.000
Cl 0.500 0.000 0.000
Cl 0.500 0.500 0.500

Results
Space-group type: No. 10
Formation energy (no corrections), kJ/mol of atoms: -121
M_tot, μB per formula unit: 0.00

***

4.
PmPuGeCl: relaxed, PBE.

Cell lengths 5.118, 5.118, 5.118 Å; angles 60.00, 60.00, 60.00 degrees
Element x y z (fractional)
Pm 0.000 0.000 0.000
Pu 0.500 0.500 0.500
Ge 0.750 0.750 0.750
Cl 0.250 0.250 0.250

Results
Space-group type: No. 216
Formation energy (no corrections), kJ/mol of atoms: -81
M_tot, μB per formula unit: 5.91

***

5.
Pm3GeSCl: relaxed, PBE.

Cell lengths 7.581, 4.036, 10.847 Å; angles 90.00, 107.76, 90.00 degrees
Element x y z (fractional)
Pm 0.174 0.250 0.148
Pm 0.203 0.250 0.491
Pm 0.309 0.750 0.838
Pm 0.691 0.250 0.162
Pm 0.797 0.750 0.509
Pm 0.826 0.750 0.852
Ge 0.008 0.250 0.700
Ge 0.992 0.750 0.300
S 0.408 0.750 0.108
S 0.592 0.250 0.892
Cl 0.473 0.750 0.623
Cl 0.527 0.250 0.377

Results
Space-group type: No. 11
Formation energy (no corrections), kJ/mol of atoms: -137
M_tot, μB per formula unit: 0.00

***

6.
Pm6Ge2SCl3: relaxed, PBE.

Cell lengths 9.376, 9.376, 8.319 Å; angles 103.43, 103.43, 25.87 degrees
Element x y z (fractional)
Pm 0.003 0.003 0.225
Pm 0.328 0.328 0.428
Pm 0.344 0.344 0.909
Pm 0.656 0.656 0.091
Pm 0.672 0.672 0.572
Pm 0.997 0.997 0.775
Ge 0.165 0.165 0.331
Ge 0.835 0.835 0.669
S 0.500 0.500 0.000
Cl 0.173 0.173 0.838
Cl 0.500 0.500 0.500
Cl 0.827 0.827 0.162

Results
Space-group type: No. 12
Formation energy (no corrections), kJ/mol of atoms: -136
M_tot, μB per formula unit: 0.00